# NaInSn, relaxed, DFT GGA-PBE
data_NaInSn
_symmetry_space_group_name_H-M 'P 1'
_symmetry_Int_Tables_number 1
_symmetry_space_group_name_Hall 'P 1'
_cell_length_a 4.9450
_cell_length_b 5.0513
_cell_length_c 6.9337
_cell_angle_alpha 89.96
_cell_angle_beta 69.28
_cell_angle_gamma 89.88
loop_
_atom_site_label
_atom_site_fract_x
_atom_site_fract_y
_atom_site_fract_z
Na1 0.0000 0.0000 0.0000
Na2 0.1651 0.5001 0.6684
In1 0.3307 0.0005 0.3389
In2 0.4864 0.5004 0.0249
Sn1 0.6767 0.0008 0.6469
Sn2 0.8345 0.5005 0.3291
# electronic total energy	-2.7945	eV/atom



# NbCu3C, relaxed, DFT GGA-PBE
data_NbCu3C
_symmetry_space_group_name_H-M 'P m -3 m'
_symmetry_Int_Tables_number 221
_symmetry_space_group_name_Hall '-P 4 2 3'
_cell_length_a 4.7915
_cell_length_b 4.7915
_cell_length_c 4.7915
_cell_angle_alpha 90.00
_cell_angle_beta 90.00
_cell_angle_gamma 90.00
loop_
_atom_site_label
_atom_site_fract_x
_atom_site_fract_y
_atom_site_fract_z
Nb1 0.0000 0.0000 0.0000
Cu1 0.0000 0.0000 0.5000
C1 0.5000 0.5000 0.5000
# electronic total energy	-3.5257	eV/atom



# Mg4CdPt2Rh, relaxed, DFT GGA-PBE
data_Mg4CdPt2Rh
_symmetry_space_group_name_H-M 'R -3 m'
_symmetry_Int_Tables_number 166
_symmetry_space_group_name_Hall '-R 3 2"'
_cell_length_a 4.5452
_cell_length_b 4.5452
_cell_length_c 22.3828
_cell_angle_alpha 90.00
_cell_angle_beta 90.00
_cell_angle_gamma 120.00
loop_
_atom_site_label
_atom_site_fract_x
_atom_site_fract_y
_atom_site_fract_z
Mg1 0.0000 0.0000 0.1187
Mg2 0.0000 0.0000 0.3695
Cd1 0.0000 0.0000 0.5000
Pt1 0.0000 0.0000 0.2480
Rh1 0.0000 0.0000 0.0000
# electronic total energy	-3.9384	eV/atom



# HoInSn, relaxed, DFT GGA-PBE
data_HoInSn
_symmetry_space_group_name_H-M 'C m c m'
_symmetry_Int_Tables_number 63
_symmetry_space_group_name_Hall '-C 2c 2'
_cell_length_a 3.4835
_cell_length_b 19.6661
_cell_length_c 4.6445
_cell_angle_alpha 90.00
_cell_angle_beta 90.00
_cell_angle_gamma 90.00
loop_
_atom_site_label
_atom_site_fract_x
_atom_site_fract_y
_atom_site_fract_z
Ho1 0.0000 0.1183 0.2500
In1 0.0000 0.4579 0.2500
Sn1 0.0000 0.3009 0.2500
# electronic total energy	-4.1223	eV/atom



# BaAc2Sc, relaxed, DFT GGA-PBE
data_BaAc2Sc
_symmetry_space_group_name_H-M 'R -3 m'
_symmetry_Int_Tables_number 166
_symmetry_space_group_name_Hall '-R 3 2"'
_cell_length_a 3.8540
_cell_length_b 3.8540
_cell_length_c 40.0473
_cell_angle_alpha 90.00
_cell_angle_beta 90.00
_cell_angle_gamma 120.00
loop_
_atom_site_label
_atom_site_fract_x
_atom_site_fract_y
_atom_site_fract_z
Ba1 0.0000 0.0000 0.0000
Ac1 0.0000 0.0000 0.0974
Sc1 0.0000 0.0000 0.5000
# electronic total energy	-3.8649	eV/atom



# In3IrCl, relaxed, DFT GGA-PBE
data_In3IrCl
_symmetry_space_group_name_H-M 'I -4 m 2'
_symmetry_Int_Tables_number 119
_symmetry_space_group_name_Hall 'I -4 -2'
_cell_length_a 5.3803
_cell_length_b 5.3803
_cell_length_c 21.1910
_cell_angle_alpha 90.00
_cell_angle_beta 90.00
_cell_angle_gamma 90.00
loop_
_atom_site_label
_atom_site_fract_x
_atom_site_fract_y
_atom_site_fract_z
In1 0.0000 0.0000 0.1952
In2 0.0000 0.2452 0.6251
Ir1 0.0000 0.5000 0.1921
Cl1 0.0000 0.0000 0.5000
Cl2 0.0000 0.5000 0.7500
# electronic total energy	-3.6501	eV/atom
# energy relative to the elements, uncorrected	0.134	eV per atom



# Li2TaTe, relaxed, DFT GGA-PBE
data_Li2TaTe
_symmetry_space_group_name_H-M 'P 4/m m m'
_symmetry_Int_Tables_number 123
_symmetry_space_group_name_Hall '-P 4 2'
_cell_length_a 2.9474
_cell_length_b 2.9474
_cell_length_c 9.4159
_cell_angle_alpha 90.00
_cell_angle_beta 90.00
_cell_angle_gamma 90.00
loop_
_atom_site_label
_atom_site_fract_x
_atom_site_fract_y
_atom_site_fract_z
Li1 0.0000 0.0000 0.2457
Ta1 0.5000 0.5000 0.0000
Te1 0.5000 0.5000 0.5000
# electronic total energy	-4.4563	eV/atom
# energy relative to the elements, uncorrected	0.249	eV per atom



# MnCo2Ru, relaxed, DFT GGA-PBE
data_MnCo2Ru
_symmetry_space_group_name_H-M 'P m m 2'
_symmetry_Int_Tables_number 25
_symmetry_space_group_name_Hall 'P 2 -2'
_cell_length_a 2.5898
_cell_length_b 3.5349
_cell_length_c 5.1012
_cell_angle_alpha 90.00
_cell_angle_beta 90.00
_cell_angle_gamma 90.00
loop_
_atom_site_label
_atom_site_fract_x
_atom_site_fract_y
_atom_site_fract_z
Mn1 0.0000 0.0000 0.0000
Co1 0.0000 0.0000 0.5241
Co2 0.5000 0.5000 0.7487
Ru1 0.5000 0.5000 0.2513
# electronic total energy	-8.0390	eV/atom



# K3Er2PuS6, relaxed, DFT GGA-PBE
data_K3Er2PuS6
_symmetry_space_group_name_H-M 'C 1 2/m 1'
_symmetry_Int_Tables_number 12
_symmetry_space_group_name_Hall '-C 2y'
_cell_length_a 7.0344
_cell_length_b 12.1839
_cell_length_c 7.7082
_cell_angle_alpha 90.00
_cell_angle_beta 107.71
_cell_angle_gamma 90.00
loop_
_atom_site_label
_atom_site_fract_x
_atom_site_fract_y
_atom_site_fract_z
K1 0.0000 0.0000 0.0000
K2 0.0000 0.3335 0.0000
Er1 0.0000 0.1667 0.5000
Pu1 0.0000 0.5000 0.5000
S1 0.2279 0.0000 0.7005
S2 0.2363 0.3305 0.7005
# electronic total energy	-6.0631	eV/atom
# energy relative to the elements, uncorrected	-1.770	eV per atom



# CuRuPb, relaxed, DFT GGA-PBE
data_CuRuPb
_symmetry_space_group_name_H-M 'F -4 3 m'
_symmetry_Int_Tables_number 216
_symmetry_space_group_name_Hall 'F -4 2 3'
_cell_length_a 6.1974
_cell_length_b 6.1974
_cell_length_c 6.1974
_cell_angle_alpha 90.00
_cell_angle_beta 90.00
_cell_angle_gamma 90.00
loop_
_atom_site_label
_atom_site_fract_x
_atom_site_fract_y
_atom_site_fract_z
Cu1 0.0000 0.0000 0.0000
Ru1 0.2500 0.2500 0.2500
Pb1 0.0000 0.0000 0.5000
# electronic total energy	-5.1372	eV/atom



# MgAu4Se4Cl4O12, relaxed, DFT GGA-PBE
data_MgAu4Se4Cl4O12
_symmetry_space_group_name_H-M 'P 1'
_symmetry_Int_Tables_number 1
_symmetry_space_group_name_Hall 'P 1'
_cell_length_a 4.5269
_cell_length_b 10.0723
_cell_length_c 11.2918
_cell_angle_alpha 96.94
_cell_angle_beta 98.05
_cell_angle_gamma 96.67
loop_
_atom_site_label
_atom_site_fract_x
_atom_site_fract_y
_atom_site_fract_z
Mg1 0.0000 0.0000 0.0000
Au1 0.0158 0.6148 0.5329
Au2 0.9313 0.1843 0.3729
Au3 0.9640 0.5969 0.0337
Au4 0.9935 0.0503 0.7477
Se1 0.2005 0.4620 0.2786
Se2 0.2150 0.9103 0.4624
Se3 0.7051 0.7292 0.7904
Se4 0.8373 0.3290 0.6439
Cl1 0.1830 0.4061 0.9934
Cl2 0.2061 0.1034 0.2261
Cl3 0.5268 0.0894 0.9941
Cl4 0.7489 0.7936 0.0806
O1 0.0018 0.5821 0.2116
O2 0.1071 0.2316 0.6898
O3 0.1144 0.4585 0.6239
O4 0.3077 0.5537 0.4216
O5 0.3366 0.9241 0.6100
O6 0.6765 0.2564 0.4958
O7 0.7158 0.6787 0.6414
O8 0.8787 0.3552 0.2923
O9 0.9172 0.0168 0.4531
O10 0.9278 0.6152 0.8547
O11 0.9328 0.7651 0.4354
O12 0.9631 0.8789 0.8375
# electronic total energy	-4.4012	eV/atom
# energy relative to the elements, uncorrected	-0.580	eV per atom



# TaTl2Os, relaxed, DFT GGA-PBE
data_TaTl2Os
_symmetry_space_group_name_H-M 'I -4 2 d'
_symmetry_Int_Tables_number 122
_symmetry_space_group_name_Hall 'I -4 2bw'
_cell_length_a 7.7748
_cell_length_b 7.7748
_cell_length_c 5.6473
_cell_angle_alpha 90.00
_cell_angle_beta 90.00
_cell_angle_gamma 90.00
loop_
_atom_site_label
_atom_site_fract_x
_atom_site_fract_y
_atom_site_fract_z
Ta1 0.0000 0.0000 0.0000
Tl1 0.2323 0.2500 0.6250
Os1 0.0000 0.0000 0.5000
# electronic total energy	-5.7326	eV/atom



# SrZnCdO3, relaxed, DFT GGA-PBE
data_SrZnCdO3
_symmetry_space_group_name_H-M 'P 1 21/m 1'
_symmetry_Int_Tables_number 11
_symmetry_space_group_name_Hall '-P 2yb'
_cell_length_a 5.8708
_cell_length_b 3.3616
_cell_length_c 8.5627
_cell_angle_alpha 90.00
_cell_angle_beta 95.22
_cell_angle_gamma 90.00
loop_
_atom_site_label
_atom_site_fract_x
_atom_site_fract_y
_atom_site_fract_z
Sr1 0.1962 0.2500 0.1860
Zn1 0.2971 0.2500 0.8383
Cd1 0.2561 0.7500 0.5490
O1 0.0255 0.2500 0.6619
O2 0.2420 0.7500 0.9573
O3 0.4824 0.7500 0.3283
# electronic total energy	-4.8168	eV/atom
# energy relative to the elements, uncorrected	-1.693	eV per atom



# DyGaGe2, relaxed, DFT GGA-PBE
data_DyGaGe2
_symmetry_space_group_name_H-M 'P 4/m m m'
_symmetry_Int_Tables_number 123
_symmetry_space_group_name_Hall '-P 4 2'
_cell_length_a 4.2923
_cell_length_b 4.2923
_cell_length_c 4.3242
_cell_angle_alpha 90.00
_cell_angle_beta 90.00
_cell_angle_gamma 90.00
loop_
_atom_site_label
_atom_site_fract_x
_atom_site_fract_y
_atom_site_fract_z
Dy1 0.0000 0.0000 0.0000
Ga1 0.5000 0.5000 0.0000
Ge1 0.0000 0.5000 0.5000
# electronic total energy	-4.6729	eV/atom



# Hf2PI, relaxed, DFT GGA-PBE
data_Hf2PI
_symmetry_space_group_name_H-M 'I -4 2 d'
_symmetry_Int_Tables_number 122
_symmetry_space_group_name_Hall 'I -4 2bw'
_cell_length_a 5.4316
_cell_length_b 5.4316
_cell_length_c 15.1389
_cell_angle_alpha 90.00
_cell_angle_beta 90.00
_cell_angle_gamma 90.00
loop_
_atom_site_label
_atom_site_fract_x
_atom_site_fract_y
_atom_site_fract_z
Hf1 0.1644 0.2500 0.1250
P1 0.0000 0.0000 0.0000
I1 0.0000 0.0000 0.5000
# electronic total energy	-6.6419	eV/atom
# energy relative to the elements, uncorrected	0.075	eV per atom



# La6PmPr2, relaxed, DFT GGA-PBE
data_La6PmPr2
_symmetry_space_group_name_H-M 'C 1 2/m 1'
_symmetry_Int_Tables_number 12
_symmetry_space_group_name_Hall '-C 2y'
_cell_length_a 9.7772
_cell_length_b 6.2054
_cell_length_c 10.8984
_cell_angle_alpha 90.00
_cell_angle_beta 98.45
_cell_angle_gamma 90.00
loop_
_atom_site_label
_atom_site_fract_x
_atom_site_fract_y
_atom_site_fract_z
La1 0.0009 0.0000 0.3326
La2 0.1616 0.5000 0.7700
La3 0.1658 0.5000 0.1025
Pm1 0.0000 0.0000 0.0000
Pr1 0.1670 0.5000 0.4385
# electronic total energy	-4.7808	eV/atom



# PtAuSe2, relaxed, DFT GGA-PBE
data_PtAuSe2
_symmetry_space_group_name_H-M 'C 1 2/m 1'
_symmetry_Int_Tables_number 12
_symmetry_space_group_name_Hall '-C 2y'
_cell_length_a 5.6052
_cell_length_b 7.5016
_cell_length_c 4.6661
_cell_angle_alpha 90.00
_cell_angle_beta 126.62
_cell_angle_gamma 90.00
loop_
_atom_site_label
_atom_site_fract_x
_atom_site_fract_y
_atom_site_fract_z
Pt1 0.0000 0.0000 0.0000
Au1 0.0000 0.5000 0.0000
Se1 0.2500 0.2500 0.5000
# electronic total energy	-3.9736	eV/atom
# energy relative to the elements, uncorrected	0.098	eV per atom



# ScPaTc, relaxed, DFT GGA-PBE
data_ScPaTc
_symmetry_space_group_name_H-M 'P 3 m 1'
_symmetry_Int_Tables_number 156
_symmetry_space_group_name_Hall 'P 3 -2"'
_cell_length_a 4.6682
_cell_length_b 4.6682
_cell_length_c 3.1514
_cell_angle_alpha 90.00
_cell_angle_beta 90.00
_cell_angle_gamma 120.00
loop_
_atom_site_label
_atom_site_fract_x
_atom_site_fract_y
_atom_site_fract_z
Sc1 0.0000 0.0000 0.0000
Pa1 0.6667 0.3333 0.5916
Tc1 0.3333 0.6667 0.3495
# electronic total energy	-8.8133	eV/atom



# NaCaNdSn, relaxed, DFT GGA-PBE
data_NaCaNdSn
_symmetry_space_group_name_H-M 'F -4 3 m'
_symmetry_Int_Tables_number 216
_symmetry_space_group_name_Hall 'F -4 2 3'
_cell_length_a 7.7815
_cell_length_b 7.7815
_cell_length_c 7.7815
_cell_angle_alpha 90.00
_cell_angle_beta 90.00
_cell_angle_gamma 90.00
loop_
_atom_site_label
_atom_site_fract_x
_atom_site_fract_y
_atom_site_fract_z
Na1 0.0000 0.0000 0.0000
Ca1 0.2500 0.2500 0.7500
Nd1 0.2500 0.2500 0.2500
Sn1 0.0000 0.0000 0.5000
# electronic total energy	-3.3730	eV/atom



# CdTe2PbO, relaxed, DFT GGA-PBE
data_CdTe2PbO
_symmetry_space_group_name_H-M 'P 4/m m m'
_symmetry_Int_Tables_number 123
_symmetry_space_group_name_Hall '-P 4 2'
_cell_length_a 4.8470
_cell_length_b 4.8470
_cell_length_c 5.3059
_cell_angle_alpha 90.00
_cell_angle_beta 90.00
_cell_angle_gamma 90.00
loop_
_atom_site_label
_atom_site_fract_x
_atom_site_fract_y
_atom_site_fract_z
Cd1 0.0000 0.0000 0.0000
Te1 0.0000 0.5000 0.5000
Pb1 0.5000 0.5000 0.0000
O1 0.5000 0.5000 0.5000
# electronic total energy	-3.2070	eV/atom
# energy relative to the elements, uncorrected	-0.034	eV per atom



# BeFe2Ag, relaxed, DFT GGA-PBE
data_BeFe2Ag
_symmetry_space_group_name_H-M 'I m m 2'
_symmetry_Int_Tables_number 44
_symmetry_space_group_name_Hall 'I 2 -2'
_cell_length_a 2.9162
_cell_length_b 4.3218
_cell_length_c 7.9064
_cell_angle_alpha 90.00
_cell_angle_beta 90.00
_cell_angle_gamma 90.00
loop_
_atom_site_label
_atom_site_fract_x
_atom_site_fract_y
_atom_site_fract_z
Be1 0.0000 0.0000 0.0000
Fe1 0.0000 0.0000 0.5252
Fe2 0.0000 0.5000 0.2731
Ag1 0.0000 0.5000 0.7413
# electronic total energy	-5.5706	eV/atom



# SiMo2, relaxed, DFT GGA-PBE
data_SiMo2
_symmetry_space_group_name_H-M 'C 1 2/m 1'
_symmetry_Int_Tables_number 12
_symmetry_space_group_name_Hall '-C 2y'
_cell_length_a 10.4706
_cell_length_b 3.1652
_cell_length_c 5.5467
_cell_angle_alpha 90.00
_cell_angle_beta 104.77
_cell_angle_gamma 90.00
loop_
_atom_site_label
_atom_site_fract_x
_atom_site_fract_y
_atom_site_fract_z
Si1 0.1686 0.0000 0.0735
Mo1 0.0132 0.5000 0.2424
Mo2 0.1729 0.0000 0.6057
# electronic total energy	-9.1614	eV/atom
# energy relative to the elements, uncorrected	-0.133	eV per atom